Entry 1:
This record from Alexandria describes BaAs2Pb after structural relaxation. The functional is PBE.

Cell: 6.367 6.367 6.367 Å, 137.78 137.78 61.23°
Fractional coordinates of all 4 atoms:
1 Ba 0.000 0.000 0.000
2 As 0.500 0.500 0.000
3 As 0.750 0.250 0.500
4 Pb 0.250 0.750 0.500

Total magnetization = 0.00 μB/atom
Volume = 115.2 Å³/cell
SG = I-4m2, No. 119
E = -15.973 eV per cell
Energy relative to the elements = -261 meV per atom
Density = 7.12 g/cm3

=====

Entry 2:
This record from Alexandria describes As2NF after structural relaxation. The functional is PBE.

Cell: 7.106 7.106 7.106 Å, 142.76 142.76 53.69°
Fractional coordinates of all 8 atoms:
1 As 0.038 0.625 0.913
2 As 0.375 0.288 0.413
3 As 0.712 0.125 0.087
4 As 0.875 0.962 0.587
5 N 0.000 0.000 0.000
6 N 0.750 0.250 0.500
7 F 0.250 0.750 0.500
8 F 0.500 0.500 0.000

Total magnetization = 0.00 μB/atom
Volume = 130.6 Å³/cell
SG = I-42d, No. 122
E = -38.211 eV per cell
Polymorph energy (0 for the lowest one) = 0 meV/atom
Density = 4.65 g/cm3
E_form (uncorrected) = 98 meV/atom

=====

E of number 2 (As2NF)? -38.211 eV per cell

=====

density of number 1 (BaAs2Pb)? 7.12 g/cm3

=====

The lowest E belongs to which entry? As2NF